DFT (PBE) results for crystalline Y6GaBi2 at its relaxed geometry.

```
data_Y6GaBi2
_space_group_name_H-M_alt 'P 1'
_space_group_IT_number 1
_space_group_name_Hall 'P 1'
_cell_length_a 6.9610
_cell_length_b 6.9610
_cell_length_c 13.5390
_cell_angle_alpha 90.00
_cell_angle_beta 90.00
_cell_angle_gamma 90.00
loop_
_atom_site_label
_atom_site_type_symbol
_atom_site_fract_x
_atom_site_fract_y
_atom_site_fract_z
Y1 Y 0.1930 0.1930 0.1537
Y2 Y 0.1930 0.1930 0.8463
Y3 Y 0.2149 0.2149 0.5000
Y4 Y 0.2851 0.7149 0.0000
Y5 Y 0.3070 0.6930 0.3463
Y6 Y 0.3070 0.6930 0.6537
Y7 Y 0.6930 0.3070 0.3463
Y8 Y 0.6930 0.3070 0.6537
Y9 Y 0.7149 0.2851 0.0000
Y10 Y 0.7851 0.7851 0.5000
Y11 Y 0.8070 0.8070 0.1537
Y12 Y 0.8070 0.8070 0.8463
Ga1 Ga 0.0000 0.0000 0.0000
Ga2 Ga 0.5000 0.5000 0.5000
Bi1 Bi 0.0000 0.0000 0.3328
Bi2 Bi 0.0000 0.0000 0.6672
Bi3 Bi 0.5000 0.5000 0.1672
Bi4 Bi 0.5000 0.5000 0.8328
```

The calculation puts the size of the total moment at 4.78 Bohr magnetons per cell. The density of states at the Fermi level is 31.1 states/eV/cell. The calculation puts the formation enthalpy at 0 K at -0.169 eV per atom. For the electronic total energy, the calculation gives -5.677 eV/atom.


DFT (PBE) results for crystalline ZrSnPd at its relaxed geometry.

```
data_ZrSnPd
_space_group_name_H-M_alt 'P 1'
_space_group_IT_number 1
_space_group_name_Hall 'P 1'
_cell_length_a 4.6164
_cell_length_b 4.6164
_cell_length_c 3.2274
_cell_angle_alpha 90.00
_cell_angle_beta 90.00
_cell_angle_gamma 120.00
loop_
_atom_site_label
_atom_site_type_symbol
_atom_site_fract_x
_atom_site_fract_y
_atom_site_fract_z
Zr1 Zr 0.0000 0.0000 0.0000
Sn1 Sn 0.6667 0.3333 0.5000
Pd1 Pd 0.3333 0.6667 0.5000
```

The calculation puts the size of the total moment at 0.00 Bohr magnetons per cell. The density of states at the Fermi level is 2.0 states/eV/cell. The calculation puts the formation enthalpy at 0 K at -0.671 eV per atom. For the electronic total energy, the calculation gives -6.586 eV/atom.